# LaErAl2Au5 (PBE, relaxed)
data_LaErAl2Au5
_chemical_formula_sum 'La1 Er1 Al2 Au5'
_symmetry_space_group_name_H-M 'P 1'
_symmetry_Int_Tables_number 1
_cell_length_a 4.804
_cell_length_b 4.804
_cell_length_c 8.351
_cell_angle_alpha 90.00
_cell_angle_beta 90.00
_cell_angle_gamma 90.00
loop_
_symmetry_equiv_pos_as_xyz
'x,y,z'
loop_
_atom_site_label
_atom_site_type_symbol
_atom_site_fract_x
_atom_site_fract_y
_atom_site_fract_z
La1 La 0.000 0.000 0.000
Er1 Er 0.000 0.000 0.500
Al1 Al 0.500 0.500 0.345
Al2 Al 0.500 0.500 0.655
Au1 Au 0.000 0.500 0.249
Au2 Au 0.000 0.500 0.751
Au3 Au 0.500 0.000 0.249
Au4 Au 0.500 0.000 0.751
Au5 Au 0.500 0.500 0.000
# Energy of formation ... -56 kJ/mol of atoms
# Magnetic moment ... 0.00 μB/atom
# Total energy ... -38.61 eV per cell